Below is crystalline P2PtPb at its relaxed geometry, with properties calculated at the PBE level.

ΔE_f = -0.0905 eV/atom
Fermi-level density of states = 1.43 states/eV/f.u.

Lattice parameters (Å, degrees): 5.8394 5.8394 7.0902 65.68 65.68 90.00
Fractional positions:
Pb (0.7500, 0.2500, 0.5000)
P (0.1909, 0.6250, 0.2500)
Pt (0.2500, 0.7500, 0.5000)
P (0.5591, 0.1250, 0.2500)
P (0.3750, 0.4409, 0.7500)
P (0.8750, 0.8091, 0.7500)
Pt (0.5000, 0.5000, 0.0000)
Pb (0.0000, 0.0000, 0.0000)

Below is crystalline Pr3BeHg2Rh3 at its relaxed geometry, with properties calculated at the PBE level.

ΔE_f = -0.4825 eV/atom
Fermi-level density of states = 4.72 states/eV/f.u.

Lattice parameters (Å, degrees): 3.6930 7.8146 7.8146 120.00 90.00 90.00
Fractional positions:
Pr (0.0000, 0.3534, 0.0000)
Pr (0.0000, 0.0000, 0.3534)
Rh (0.5000, 0.7896, 0.0000)
Hg (0.5000, 0.6667, 0.3333)
Rh (0.5000, 0.0000, 0.7896)
Be (0.0000, 0.0000, 0.0000)
Rh (0.5000, 0.2104, 0.2104)
Hg (0.5000, 0.3333, 0.6667)
Pr (0.0000, 0.6466, 0.6466)

Below is crystalline NaTmMgHg at its relaxed geometry, with properties calculated at the PBE level.

ΔE_f = -0.1200 eV/atom
Fermi-level density of states = 2.76 states/eV/f.u.

Lattice parameters (Å, degrees): 5.0792 5.0792 5.0792 60.00 60.00 60.00
Fractional positions:
Mg (0.2500, 0.2500, 0.2500)
Hg (0.5000, 0.5000, 0.5000)
Tm (0.7500, 0.7500, 0.7500)
Na (0.0000, 0.0000, 0.0000)

Below is crystalline Ta2MnCr3 at its relaxed geometry, with properties calculated at the PBE level.

ΔE_f = -0.1423 eV/atom
Fermi-level density of states = 7.64 states/eV/f.u.

Lattice parameters (Å, degrees): 4.8583 4.8583 4.9027 90.03 119.69 119.98
Fractional positions:
Cr (0.5000, 0.0000, 0.5000)
Cr (0.5000, 0.5000, 0.5000)
Ta (0.7483, 0.3743, 0.1226)
Mn (0.0000, 0.0000, 0.0000)
Ta (0.2517, 0.6257, 0.8774)
Cr (0.0000, 0.0000, 0.5000)

Below is crystalline SiAs3Rh at its relaxed geometry, with properties calculated at the PBE level.

Fermi-level density of states = 5.03 states/eV/f.u.
E above lowest polymorph = 0.000 eV per atom

Lattice parameters (Å, degrees): 4.8002 4.8002 4.8002 90.00 90.00 90.00
Fractional positions:
Si (0.5000, 0.5000, 0.5000)
Rh (0.0000, 0.0000, 0.0000)
As (0.0000, 0.5000, 0.0000)
As (0.0000, 0.0000, 0.5000)
As (0.5000, 0.0000, 0.0000)

Below is crystalline Rb2SnAsS4 at its relaxed geometry, with properties calculated at the PBE level.

calculated total energy = -65.057 eV/cell
Fermi-level density of states = 0.00 states/eV/f.u.

Lattice parameters (Å, degrees): 9.5538 8.7126 9.4151 126.10 108.79 99.73
Fractional positions:
S (0.1691, 0.7015, 0.0346)
S (0.7112, 0.7216, 0.4887)
S (0.2133, 0.1778, 0.8771)
S (0.2592, 0.3603, 0.5833)
Rb (0.5049, 0.6262, 0.0718)
As (0.8603, 0.9072, 0.8201)
Rb (0.5620, 0.1839, 0.1511)
S (0.3227, 0.7991, 0.6357)
S (0.6670, 0.7585, 0.8644)
Rb (0.0127, 0.8292, 0.3654)
Rb (0.5123, 0.0827, 0.5696)
S (0.8415, 0.1776, 0.5107)
S (0.8537, 0.2483, 0.9756)
Sn (0.0292, 0.3223, 0.8559)
As (0.4138, 0.5579, 0.5485)
Sn (0.0672, 0.5458, 0.6475)

Below is crystalline AcLuTl2 at its relaxed geometry, with properties calculated at the PBE level.

ΔE_f = -0.1846 eV/atom
Fermi-level density of states = 2.81 states/eV/f.u.

Lattice parameters (Å, degrees): 3.8578 3.8578 10.2999 79.21 79.21 60.00
Fractional positions:
Lu (0.0000, 0.0000, 0.0000)
Ac (0.5000, 0.5000, 0.5000)
Tl (0.2574, 0.2574, 0.2279)
Tl (0.7426, 0.7426, 0.7721)

Below is crystalline La5Pt at its relaxed geometry, with properties calculated at the PBE level.

ΔE_f = -0.3542 eV/atom
Fermi-level density of states = 8.64 states/eV/f.u.
E above lowest polymorph = 0.000 eV per atom

Lattice parameters (Å, degrees): 3.8110 6.5456 8.7826 73.46 90.00 106.92
Fractional positions:
La (0.6740, 0.3481, 0.6428)
La (0.3073, 0.6146, 0.2583)
La (0.0595, 0.1190, 0.0023)
La (0.3696, 0.7393, 0.7969)
La (0.0212, 0.0424, 0.4197)
Pt (0.7349, 0.4699, 0.0467)

Below is crystalline Nd2Sm4DyEr at its relaxed geometry, with properties calculated at the PBE level.

ΔE_f = 0.0156 eV/atom
Fermi-level density of states = 11.45 states/eV/f.u.

Lattice parameters (Å, degrees): 5.1206 5.1083 11.4240 63.34 90.00 90.00
Fractional positions:
Sm (0.5000, 0.2502, 0.7500)
Sm (0.0000, 0.7515, 0.7489)
Nd (0.5000, 0.0000, 0.5000)
Er (0.0000, 0.5000, 0.5000)
Sm (0.0000, 0.2485, 0.2511)
Dy (0.5000, 0.5000, 0.0000)
Nd (0.0000, 0.0000, 0.0000)
Sm (0.5000, 0.7498, 0.2500)

Below is crystalline BaGe2Au6 at its relaxed geometry, with properties calculated at the PBE level.

ΔE_f = -0.2753 eV/atom
Fermi-level density of states = 2.30 states/eV/f.u.
E above lowest polymorph = 0.000 eV per atom

Lattice parameters (Å, degrees): 4.7852 4.7852 8.4369 90.00 90.00 90.00
Fractional positions:
Au (0.0000, 0.5000, 0.2990)
Ba (0.0000, 0.0000, 0.0000)
Ge (0.5000, 0.5000, 0.8342)
Au (0.5000, 0.0000, 0.7010)
Au (0.0000, 0.5000, 0.7010)
Ge (0.5000, 0.5000, 0.1658)
Au (0.5000, 0.0000, 0.2990)
Au (0.5000, 0.5000, 0.5000)
Au (0.0000, 0.0000, 0.5000)

Below is crystalline V6Tc5Rh at its relaxed geometry, with properties calculated at the PBE level.

ΔE_f = -0.3465 eV/atom
Fermi-level density of states = 10.90 states/eV/f.u.

Lattice parameters (Å, degrees): 4.2750 7.4018 7.4018 119.90 106.75 106.75
Fractional positions:
Tc (0.5000, 0.5000, 0.5000)
V (0.2536, 0.4230, 0.0841)
V (0.2415, 0.7416, 0.7416)
V (0.7464, 0.9159, 0.5770)
V (0.7464, 0.5770, 0.9159)
V (0.2536, 0.0841, 0.4230)
Tc (0.5000, 0.1633, 0.8367)
V (0.7585, 0.2584, 0.2584)
Rh (0.0000, 0.0000, 0.0000)
Tc (0.5000, 0.8367, 0.1633)
Tc (0.0000, 0.6676, 0.3324)
Tc (0.0000, 0.3324, 0.6676)

Below is crystalline Sm6ZnOs2I3 at its relaxed geometry, with properties calculated at the PBE level.

calculated total energy = -63.826 eV/cell
Fermi-level density of states = 6.05 states/eV/f.u.

Lattice parameters (Å, degrees): 7.2589 7.2589 8.4359 98.23 98.23 119.99
Fractional positions:
Sm (0.5793, 0.9367, 0.8109)
Os (0.3332, 0.6668, 0.0000)
Sm (0.4207, 0.0633, 0.1891)
I (0.8349, 0.1651, 0.5000)
Sm (0.2946, 0.2946, 0.8119)
Sm (0.9367, 0.5793, 0.8109)
I (0.5000, 0.5000, 0.5000)
Sm (0.7054, 0.7054, 0.1881)
Zn (0.0000, 0.0000, 0.0000)
Os (0.6668, 0.3332, 0.0000)
I (0.1651, 0.8349, 0.5000)
Sm (0.0633, 0.4207, 0.1891)